Density functional theory data (PBE) for SbAs3 after structural relaxation.

- energy above the most stable polymorph in this dataset (meV per atom) = 409
- formation energy from raw total energies (eV/atom) = 0.414

```
data_SbAs3
_cell_length_a 3.671
_cell_length_b 5.201
_cell_length_c 8.992
_cell_angle_alpha 90.00
_cell_angle_beta 90.00
_cell_angle_gamma 90.00
_symmetry_space_group_name_H-M 'C m m m'
_symmetry_Int_Tables_number 65
_symmetry_space_group_name_Hall '-C 2 2'
loop_
_atom_site_label
_atom_site_fract_x
_atom_site_fract_y
_atom_site_fract_z
Sb1 0.000 0.000 0.000
As1 0.000 0.000 0.500
As2 0.000 0.500 0.275
```